Material: Tb2Dy5ErIn
Method: DFT, PBE
State: optimized geometry Values from VASP.

The structure in Quantum ESPRESSO input format:
```
&SYSTEM
  ibrav = 0, nat = 18, ntyp = 4
/
ATOMIC_SPECIES
Tb 158.93 Tb.upf
Dy 162.50 Dy.upf
Er 167.26 Er.upf
In 114.82 In.upf
ATOMIC_POSITIONS crystal
Tb 0.116 0.884 0.541
Tb 0.116 0.884 0.959
Tb 0.884 0.116 0.041
Tb 0.884 0.116 0.459
Dy 0.012 0.988 0.250
Dy 0.289 0.711 0.551
Dy 0.289 0.711 0.949
Dy 0.382 0.618 0.250
Dy 0.500 0.500 0.000
Dy 0.500 0.500 0.500
Dy 0.618 0.382 0.750
Dy 0.711 0.289 0.051
Dy 0.711 0.289 0.449
Dy 0.988 0.012 0.750
Er 0.207 0.793 0.250
Er 0.793 0.207 0.750
In 0.404 0.596 0.750
In 0.596 0.404 0.250
CELL_PARAMETERS angstrom
2.671 -10.057 0.000
2.671 10.057 0.000
0.000 0.000 10.467
```

Output
Calculated formation energy = -0.05 eV/f.u.
Space-group type = Cmcm (63)

***

Material: TbDy5Er2In
Method: DFT, PBE
State: optimized geometry Values from VASP.

The structure in Quantum ESPRESSO input format:
```
&SYSTEM
  ibrav = 0, nat = 18, ntyp = 4
/
ATOMIC_SPECIES
Tb 158.93 Tb.upf
Dy 162.50 Dy.upf
Er 167.26 Er.upf
In 114.82 In.upf
ATOMIC_POSITIONS crystal
Tb 0.207 0.793 0.750
Tb 0.793 0.207 0.250
Dy 0.012 0.988 0.750
Dy 0.289 0.711 0.050
Dy 0.289 0.711 0.450
Dy 0.383 0.617 0.750
Dy 0.500 0.500 0.000
Dy 0.500 0.500 0.500
Dy 0.617 0.383 0.250
Dy 0.711 0.289 0.550
Dy 0.711 0.289 0.950
Dy 0.988 0.012 0.250
Er 0.116 0.884 0.041
Er 0.116 0.884 0.459
Er 0.884 0.116 0.541
Er 0.884 0.116 0.959
In 0.405 0.595 0.250
In 0.595 0.405 0.750
CELL_PARAMETERS angstrom
2.672 -10.008 0.000
2.672 10.008 0.000
0.000 0.000 10.485
```

Output
Calculated formation energy = -0.02 eV/f.u.
Space-group type = Cmcm (63)

***

Material: DyErInTc
Method: DFT, PBE
State: optimized geometry Values from VASP.

The structure in Quantum ESPRESSO input format:
```
&SYSTEM
  ibrav = 0, nat = 16, ntyp = 4
/
ATOMIC_SPECIES
Dy 162.50 Dy.upf
Er 167.26 Er.upf
In 114.82 In.upf
Tc 98.00 Tc.upf
ATOMIC_POSITIONS crystal
Dy 0.000 0.000 0.000
Dy 0.000 0.500 0.500
Dy 0.500 0.000 0.500
Dy 0.500 0.500 0.000
Er 0.000 0.000 0.500
Er 0.000 0.500 0.000
Er 0.500 0.000 0.000
Er 0.500 0.500 0.500
In 0.250 0.250 0.250
In 0.250 0.750 0.750
In 0.750 0.250 0.750
In 0.750 0.750 0.250
Tc 0.250 0.250 0.750
Tc 0.250 0.750 0.250
Tc 0.750 0.250 0.250
Tc 0.750 0.750 0.750
CELL_PARAMETERS angstrom
7.145 0.000 0.000
0.000 7.145 0.000
0.000 0.000 7.145
```

Output
Calculated formation energy = -0.66 eV/f.u.
Space-group type = F-43m (216)

***

Material: Dy3ErIn3Te8
Method: DFT, PBE
State: optimized geometry Values from VASP.

The structure in Quantum ESPRESSO input format:
```
&SYSTEM
  ibrav = 0, nat = 15, ntyp = 4
/
ATOMIC_SPECIES
Dy 162.50 Dy.upf
Er 167.26 Er.upf
In 114.82 In.upf
Te 127.60 Te.upf
ATOMIC_POSITIONS crystal
Dy 0.000 0.500 0.500
Dy 0.500 0.000 0.500
Dy 0.500 0.500 0.000
Er 0.000 0.000 0.000
In 0.000 0.000 0.500
In 0.000 0.500 0.000
In 0.500 0.000 0.000
Te 0.241 0.241 0.742
Te 0.241 0.742 0.241
Te 0.258 0.258 0.258
Te 0.258 0.759 0.759
Te 0.742 0.241 0.241
Te 0.742 0.742 0.742
Te 0.759 0.258 0.759
Te 0.759 0.759 0.258
CELL_PARAMETERS angstrom
4.377 2.527 7.891
-4.377 2.527 7.891
0.000 -5.054 7.891
```

Output
Total energy = -4.4522 eV/atom
Space-group type = R-3m (166)

***

Material: Dy2ErIn3Te6
Method: DFT, PBE
State: optimized geometry Values from VASP.

The structure in Quantum ESPRESSO input format:
```
&SYSTEM
  ibrav = 0, nat = 12, ntyp = 4
/
ATOMIC_SPECIES
Dy 162.50 Dy.upf
Er 167.26 Er.upf
In 114.82 In.upf
Te 127.60 Te.upf
ATOMIC_POSITIONS crystal
Dy 0.167 0.833 0.000
Dy 0.833 0.167 0.000
Er 0.500 0.500 0.000
In 0.000 0.000 0.500
In 0.333 0.667 0.500
In 0.667 0.333 0.500
Te 0.096 0.427 0.782
Te 0.241 0.241 0.218
Te 0.427 0.096 0.782
Te 0.573 0.904 0.218
Te 0.759 0.759 0.782
Te 0.904 0.573 0.218
CELL_PARAMETERS angstrom
3.813 -6.602 0.000
3.813 6.602 0.000
-2.544 0.000 8.117
```

Output
Total energy = -4.3674 eV/atom
Space-group type = C2/m (12)

***

Material: DyErIn2Te4
Method: DFT, PBE
State: optimized geometry Values from VASP.

The structure in Quantum ESPRESSO input format:
```
&SYSTEM
  ibrav = 0, nat = 8, ntyp = 4
/
ATOMIC_SPECIES
Dy 162.50 Dy.upf
Er 167.26 Er.upf
In 114.82 In.upf
Te 127.60 Te.upf
ATOMIC_POSITIONS crystal
Dy 0.000 0.000 0.000
Er 0.500 0.500 0.000
In 0.000 0.500 0.500
In 0.500 0.000 0.500
Te 0.241 0.500 0.218
Te 0.263 0.000 0.783
Te 0.737 0.000 0.217
Te 0.759 0.500 0.782
CELL_PARAMETERS angstrom
7.616 0.000 0.000
0.000 4.400 0.000
-2.540 0.000 8.111
```

Output
Total energy = -4.3629 eV/atom
Space-group type = P2/m (10)

***

Material: Dy3ErIn4Te8
Method: DFT, PBE
State: optimized geometry Values from VASP.

The structure in Quantum ESPRESSO input format:
```
&SYSTEM
  ibrav = 0, nat = 16, ntyp = 4
/
ATOMIC_SPECIES
Dy 162.50 Dy.upf
Er 167.26 Er.upf
In 114.82 In.upf
Te 127.60 Te.upf
ATOMIC_POSITIONS crystal
Dy 0.000 0.500 0.500
Dy 0.500 0.000 0.500
Dy 0.500 0.500 0.000
Er 0.000 0.000 0.000
In 0.000 0.000 0.500
In 0.000 0.500 0.000
In 0.500 0.000 0.000
In 0.500 0.500 0.500
Te 0.238 0.238 0.741
Te 0.238 0.741 0.238
Te 0.259 0.762 0.762
Te 0.260 0.260 0.260
Te 0.740 0.740 0.740
Te 0.741 0.238 0.238
Te 0.762 0.259 0.762
Te 0.762 0.762 0.259
CELL_PARAMETERS angstrom
4.405 2.543 8.110
-4.405 2.543 8.110
0.000 -5.086 8.110
```

Output
Total energy = -4.3695 eV/atom
Space-group type = R-3m (166)

***

Material: DyEr5ThIn2
Method: DFT, PBE
State: optimized geometry Values from VASP.

The structure in Quantum ESPRESSO input format:
```
&SYSTEM
  ibrav = 0, nat = 18, ntyp = 4
/
ATOMIC_SPECIES
Dy 162.50 Dy.upf
Er 167.26 Er.upf
Th 232.04 Th.upf
In 114.82 In.upf
ATOMIC_POSITIONS crystal
Dy 0.250 0.750 0.500
Dy 0.750 0.250 0.500
Er 0.000 0.000 0.000
Er 0.079 0.579 0.907
Er 0.172 0.079 0.500
Er 0.328 0.828 0.907
Er 0.421 0.328 0.500
Er 0.500 0.500 0.000
Er 0.579 0.672 0.500
Er 0.672 0.172 0.093
Er 0.828 0.921 0.500
Er 0.921 0.421 0.093
Th 0.250 0.250 0.000
Th 0.750 0.750 0.000
In 0.124 0.376 0.500
In 0.376 0.876 0.252
In 0.624 0.124 0.748
In 0.876 0.624 0.500
CELL_PARAMETERS angstrom
-3.781 3.781 9.666
3.781 -3.781 9.666
3.781 3.781 -9.666
```

Output
Calculated formation energy = 0.20 eV/f.u.
Space-group type = I4/mcm (140)